No. 1
DFT (PBE) results for a relaxed ErTcGe crystal.

The space group is I4/mmm (No. 139) and the conventional cell measures 4.060, 4.060 and 14.137 Å, with angles of 90.00, 90.00 and 90.00 degrees. The inequivalent atoms are Er at (0.000, 0.000, 0.159), Tc at (0.000, 0.500, 0.000) and Ge at (0.000, 0.000, 0.379).

The value obtained for the distance to the lowest polymorph of the same formula is 0.000 eV per atom. The calculation puts the calculated density at 9630 kg/m3. Its total moment is 0.00 Bohr magnetons per cell. For the energy of formation, the calculation gives -0.56 eV per atom.

=====

No. 2
DFT (PBE) results for a relaxed Er3TcGe3 crystal.

The space group is C2/m (No. 12) and the conventional cell measures 10.814, 4.201 and 13.908 Å, with angles of 90.00, 110.58 and 90.00 degrees. The inequivalent atoms are Er at (0.021, 0.000, 0.377), Er at (0.101, 0.000, 0.921), Er at (0.242, 0.000, 0.231), Tc at (0.241, 0.500, 0.410), Ge at (0.043, 0.500, 0.237), Ge at (0.123, 0.500, 0.074) and Ge at (0.132, 0.500, 0.545).

The calculation puts the calculated density at 9182 kg/m3. Its total moment is 0.00 Bohr magnetons per cell. For the energy of formation, the calculation gives -0.73 eV per atom.

=====

No. 3
DFT (PBE) results for a relaxed ErTiTcGe2 crystal.

The space group is I-4m2 (No. 119) and the conventional cell measures 3.955, 3.955 and 11.565 Å, with angles of 90.00, 90.00 and 90.00 degrees. The inequivalent atoms are Er at (0.000, 0.000, 0.000), Ti at (0.000, 0.500, 0.750), Tc at (0.000, 0.500, 0.250) and Ge at (0.000, 0.000, 0.392).

The calculation puts the calculated density at 8417 kg/m3. Its total moment is 0.00 Bohr magnetons per cell. For the energy of formation, the calculation gives -0.65 eV per atom.

=====

No. 4
DFT (PBE) results for a relaxed Er2GeTe crystal.

The space group is R3m (No. 160, hexagonal axes) and the conventional cell measures 4.1916, 4.1916 and 21.5457 Å, with angles of 90.00, 90.00 and 120.00 degrees. The inequivalent atoms are Er at (0.0000, 0.0000, 0.0000), Er at (0.0000, 0.0000, 0.1907), Ge at (0.0000, 0.0000, 0.5937) and Te at (0.0000, 0.0000, 0.7633).

The value obtained for the distance to the lowest polymorph of the same formula is 0.070 eV per atom. The calculation puts the calculated density at 8126 kg/m3. Its total moment is 0.00 Bohr magnetons per cell. As for the formation energy without anion corrections: -1.088 eV per atom.

=====

No. 5
DFT (PBE) results for a relaxed Er5GeTe4 crystal.

The space group is I4/m (No. 87) and the conventional cell measures 9.623, 9.623 and 6.033 Å, with angles of 90.00, 90.00 and 90.00 degrees. The inequivalent atoms are Er at (0.000, 0.000, 0.000), Er at (0.098, 0.727, 0.500), Ge at (0.000, 0.000, 0.500) and Te at (0.091, 0.693, 0.000).

The calculation puts the calculated density at 8437 kg/m3. Its total moment is 0.00 Bohr magnetons per cell. As for the formation energy without anion corrections: -1.231 eV per atom.

=====

No. 6
DFT (PBE) results for a relaxed Er6GeTe5 crystal.

The space group is C2/m (No. 12) and the conventional cell measures 7.456, 12.894 and 7.444 Å, with angles of 90.00, 109.42 and 90.00 degrees. The inequivalent atoms are Er at (0.225, 0.000, 0.262), Er at (0.229, 0.154, 0.730), Ge at (0.000, 0.000, 0.500), Te at (0.000, 0.176, 0.000), Te at (0.000, 0.336, 0.500) and Te at (0.000, 0.500, 0.000).

The calculation puts the calculated density at 8435 kg/m3. Its total moment is 0.00 Bohr magnetons per cell. As for the formation energy without anion corrections: -1.246 eV per atom.

=====

Volume
In order: 19.42 21.13 18.09 27.32 27.94 28.12
Unit: Å³/atom
DOS(E_F)
In order: 13.20 21.29 6.91 1.68 10.74 13.07
Unit: states/eV/cell